A geometry-optimized CaLaEu2 structure. Source: Alexandria via LeMat-Bulk, functional GGA-PBE.

Output
E   -6.7825 eV per atom
ρ   4.96 g/cm3

Geometry as CIF:
```
data_CaLaEu2
_cell_length_a 8.650
_cell_length_b 8.650
_cell_length_c 8.650
_cell_angle_alpha 90.00
_cell_angle_beta 90.00
_cell_angle_gamma 90.00
_space_group_name_H-M_alt 'F m -3 m'
_space_group_IT_number 225
_space_group_name_Hall '-F 4 2 3'
loop_
_atom_site_label
_atom_site_fract_x
_atom_site_fract_y
_atom_site_fract_z
_atom_site_occupancy
Ca1 0.000 0.000 0.000 1
La1 0.000 0.000 0.500 1
Eu1 0.250 0.250 0.250 1
```

A geometry-optimized ReSnF2 structure. Source: Alexandria via LeMat-Bulk, functional GGA-PBE.

Output
E   -5.4782 eV per atom
ρ   8.94 g/cm3

Geometry as CIF:
```
data_ReSnF2
_cell_length_a 3.971
_cell_length_b 3.971
_cell_length_c 16.157
_cell_angle_alpha 90.00
_cell_angle_beta 90.00
_cell_angle_gamma 90.00
_space_group_name_H-M_alt 'I -4 2 d'
_space_group_IT_number 122
_space_group_name_Hall 'I -4 2bw'
loop_
_atom_site_label
_atom_site_fract_x
_atom_site_fract_y
_atom_site_fract_z
_atom_site_occupancy
Re1 0.000 0.000 0.000 1
Sn1 0.000 0.000 0.500 1
F1 0.203 0.250 0.125 1
```

A geometry-optimized IrRh2Cl structure. Source: Alexandria via LeMat-Bulk, functional GGA-PBE.

Output
E   -5.6822 eV per atom
ρ   11.63 g/cm3

Geometry as CIF:
```
data_IrRh2Cl
_cell_length_a 2.752
_cell_length_b 4.608
_cell_length_c 9.762
_cell_angle_alpha 90.00
_cell_angle_beta 90.00
_cell_angle_gamma 90.00
_space_group_name_H-M_alt 'I m m m'
_space_group_IT_number 71
_space_group_name_Hall '-I 2 2'
loop_
_atom_site_label
_atom_site_fract_x
_atom_site_fract_y
_atom_site_fract_z
_atom_site_occupancy
Ir1 0.000 0.000 0.000 1
Rh1 0.000 0.500 0.267 1
Cl1 0.000 0.000 0.500 1
```

A geometry-optimized TmGa2Pt structure. Source: Alexandria via LeMat-Bulk, functional GGA-PBE.

Output
E   -4.9123 eV per atom
ρ   11.03 g/cm3

Geometry as CIF:
```
data_TmGa2Pt
_cell_length_a 4.2545
_cell_length_b 4.2545
_cell_length_c 14.5065
_cell_angle_alpha 90.00
_cell_angle_beta 90.00
_cell_angle_gamma 120.00
_space_group_name_H-M_alt 'R -3 m'
_space_group_IT_number 166
_space_group_name_Hall '-R 3 2"'
loop_
_atom_site_label
_atom_site_fract_x
_atom_site_fract_y
_atom_site_fract_z
_atom_site_occupancy
Tm1 0.0000 0.0000 0.0000 1
Ga1 0.0000 0.0000 0.2213 1
Pt1 0.0000 0.0000 0.5000 1
```

Repeat the first record exactly.
A geometry-optimized CaLaEu2 structure. Source: Alexandria via LeMat-Bulk, functional GGA-PBE.

Output
E   -6.7825 eV per atom
ρ   4.96 g/cm3

Geometry as CIF:
```
data_CaLaEu2
_cell_length_a 8.650
_cell_length_b 8.650
_cell_length_c 8.650
_cell_angle_alpha 90.00
_cell_angle_beta 90.00
_cell_angle_gamma 90.00
_space_group_name_H-M_alt 'F m -3 m'
_space_group_IT_number 225
_space_group_name_Hall '-F 4 2 3'
loop_
_atom_site_label
_atom_site_fract_x
_atom_site_fract_y
_atom_site_fract_z
_atom_site_occupancy
Ca1 0.000 0.000 0.000 1
La1 0.000 0.000 0.500 1
Eu1 0.250 0.250 0.250 1
```